{"formula": "PmNdSmS3", "functional": "PBE", "state": "optimized geometry", "cell": [[-2.145, 2.003, 2.627], [-3.437, -5.862, 1.664], [8.089, -0.155, 6.721]], "species": ["S", "Pm", "Sm", "S", "Nd", "S", "S", "Pm", "S", "Sm", "S", "Nd"], "fractional_positions": [[0.250, 0.713, 0.505], [0.250, 0.343, 0.305], [0.750, 0.875, 0.372], [0.250, 0.456, 0.830], [0.750, 0.234, 0.945], [0.750, 0.544, 0.170], [0.250, 0.941, 0.836], [0.750, 0.657, 0.695], [0.750, 0.287, 0.495], [0.250, 0.125, 0.628], [0.750, 0.059, 0.164], [0.250, 0.766, 0.055]], "raw_formation_energy_kj_per_mol_atoms": -186, "magmom_total_mub_per_fu": 0.00, "mass_density_g_cm3": 6.28}

***

{"formula": "PrNd4Pa3P8", "functional": "PBE", "state": "optimized geometry", "cell": [[8.172, 0.000, 0.000], [0.000, 8.177, -0.002], [-4.086, -4.082, 5.781]], "species": ["Pa", "P", "Pa", "Nd", "P", "Nd", "Pr", "Nd", "P", "P", "Nd", "Pa", "P", "P", "P", "P"], "fractional_positions": [[0.000, 0.500, 0.500], [0.745, 0.734, 0.489], [0.500, 0.500, 0.000], [0.000, 0.000, 0.500], [0.251, 0.737, 0.502], [0.500, 0.000, 0.000], [0.000, 0.500, 0.000], [0.000, 0.000, 0.000], [0.265, 0.263, 0.014], [0.251, 0.737, 0.986], [0.500, 0.000, 0.500], [0.500, 0.500, 0.500], [0.749, 0.263, 0.498], [0.735, 0.737, 0.986], [0.749, 0.263, 0.014], [0.255, 0.266, 0.511]], "magmom_total_mub_per_fu": 0.00, "e_form_ev_per_atom": -1.455, "mass_density_g_cm3": 7.13}

***

Number 1: N(E_F) 3.31 states/eV/f.u.. Number 2: N(E_F) 12.40 states/eV/f.u..